Record 1
A relaxed structure of Dy2Ho2BI2Br3. Source: OQMD, functional PBE-GGA. Values from VASP.

Calculated values
Calculated density (g cm⁻³): 6.5
E (eV/atom): -4.5835

```
&SYSTEM
  ibrav = 0, nat = 10, ntyp = 5
/
ATOMIC_SPECIES
B 10.81 B.upf
Br 79.90 Br.upf
Dy 162.50 Dy.upf
Ho 164.93 Ho.upf
I 126.90 I.upf
ATOMIC_POSITIONS angstrom
B -8.940 -2.430 0.930
Br -2.945 1.903 0.680
Br -9.141 1.647 1.522
Br -15.337 1.391 2.365
Dy -17.938 -3.174 2.102
Dy -0.344 6.468 0.943
Ho -11.399 -2.509 1.268
Ho -6.883 5.803 1.777
I -14.836 -2.492 1.757
I -3.446 5.785 1.288
CELL_PARAMETERS angstrom
-9.215 -2.162 -1.008
-8.665 -2.698 2.869
-0.401 8.153 1.184
```

Record 2
A relaxed structure of Dy4BIBr4. Source: OQMD, functional PBE-GGA. Values from VASP.

Calculated values
Calculated density (g cm⁻³): 6.2
E (eV/atom): -4.6758

```
&SYSTEM
  ibrav = 0, nat = 10, ntyp = 4
/
ATOMIC_SPECIES
B 10.81 B.upf
Br 79.90 Br.upf
Dy 162.50 Dy.upf
I 126.90 I.upf
ATOMIC_POSITIONS angstrom
B 8.948 0.000 0.000
Br 14.506 0.000 1.310
Br 2.353 0.000 2.690
Br 13.588 0.000 5.646
Br 1.435 0.000 7.026
Dy 11.362 0.000 0.608
Dy 17.504 0.000 1.642
Dy -1.562 0.000 6.694
Dy 4.579 0.000 7.728
I 7.971 0.000 4.168
CELL_PARAMETERS angstrom
8.948 -1.979 0.000
8.948 1.979 0.000
-1.954 0.000 8.336
```